! LiIrRh2, optimized geometry, DFT PBEsol; values from VASP
&SYSTEM
  ibrav = 0, nat = 4, ntyp = 3
/
ATOMIC_SPECIES
Ir 192.22 Ir.upf
Rh 102.91 Rh.upf
Li 6.94 Li.upf
ATOMIC_POSITIONS crystal
Ir 0.000 0.000 0.500
Rh 0.744 0.487 0.749
Rh 0.256 0.513 0.251
Li 0.500 0.000 0.000
CELL_PARAMETERS angstrom
-1.192 2.035 1.225
-0.540 -3.667 2.685
4.045 1.378 1.646
! uncorrected energy: -28.2 eV per cell
! relative energy among the computed polymorphs: 44 meV per atom
! energy relative to the elements: -39 meV/atom